No. 1
This record from Alexandria describes a crystal of MgCr3 relaxed with PBEsol. The functional is meta-GGA SCAN.

Cell lengths 2.3925, 4.2605, 4.9561 Å; angles 90.00, 90.00, 90.00 degrees
Element x y z (fractional)
Mg 0.0000 0.0000 0.0000
Cr 0.0000 0.5000 0.7075
Cr 0.5000 0.0000 0.4960
Cr 0.5000 0.5000 0.2392

As for the uncorrected energy: -57.68 eV/cell. The energy relative to the elements comes out at 613 meV per atom. For the magnetic moment, the calculation gives 0.08 μB/atom. As for the density of states at the Fermi level: 0.74 states/eV/atom. The crystal system is orthorhombic.

=====

No. 2
This record from Alexandria describes a crystal of MgCr5 relaxed with PBEsol. The functional is meta-GGA SCAN.

Cell lengths 6.1568, 6.1568, 4.2299 Å; angles 90.00, 90.00, 153.10 degrees
Element x y z (fractional)
Mg 0.0000 0.0000 0.0000
Cr 0.1636 0.8364 0.5000
Cr 0.3191 0.6809 0.0000
Cr 0.5000 0.5000 0.5000
Cr 0.6809 0.3191 0.0000
Cr 0.8364 0.1636 0.5000

As for the uncorrected energy: -94.74 eV/cell. The energy relative to the elements comes out at 360 meV per atom. For the magnetic moment, the calculation gives 0.00 μB/atom. As for the density of states at the Fermi level: 0.82 states/eV/atom. The crystal system is orthorhombic.